SrSm4Pd4 | PBE | optimized geometry

a b c (Å): 9.489 9.489 5.801
angles (deg): 90.00 90.00 90.00
Sites, in units of the cell vectors:
1 Sr 0.250 0.250 0.250
2 Sr 0.750 0.750 0.750
3 Sm 0.086 0.647 0.168
4 Sm 0.147 0.914 0.668
5 Sm 0.353 0.586 0.668
6 Sm 0.414 0.853 0.168
7 Sm 0.586 0.147 0.832
8 Sm 0.647 0.414 0.332
9 Sm 0.853 0.086 0.332
10 Sm 0.914 0.353 0.832
11 Pd 0.052 0.614 0.666
12 Pd 0.114 0.948 0.166
13 Pd 0.386 0.552 0.166
14 Pd 0.448 0.886 0.666
15 Pd 0.552 0.114 0.334
16 Pd 0.614 0.448 0.834
17 Pd 0.886 0.052 0.834
18 Pd 0.948 0.386 0.334

## Properties
- energy relative to the elements (eV per atom) = -0.62
- volume (Å³/atom) = 29.0